(1)
Entry from Alexandria: a relaxed structure of Pm2Sm2Th (PBE-GGA).

calculated density	8.144	g/cm³
SG	Cmmm (65)
calculated formation energy	67	meV/atom
calculated total energy	-5.20	eV/atom
excess energy over the best structure of this formula in the dataset	61	meV per atom

Unit cell a=9.045 b=9.045 c=3.556 alpha=90.00 beta=90.00 gamma=144.78
Atoms (fractional coordinates):
Pm: 0.197 0.803 0.000
Pm: 0.803 0.197 0.000
Sm: 0.398 0.602 0.500
Sm: 0.602 0.398 0.500
Th: 0.000 0.000 0.000

***

(2)
Entry from Alexandria: a relaxed structure of Pa2CoNi12Ge3 (PBE-GGA).

calculated density	9.689	g/cm³
SG	R-3m (166)
calculated formation energy	-116	meV/atom
calculated total energy	-6.19	eV/atom

Unit cell a=6.323 b=6.323 c=6.323 alpha=82.81 beta=82.81 gamma=82.81
Atoms (fractional coordinates):
Pa: 0.167 0.167 0.167
Pa: 0.833 0.833 0.833
Co: 0.500 0.500 0.500
Ni: 0.106 0.106 0.605
Ni: 0.106 0.605 0.106
Ni: 0.206 0.698 0.698
Ni: 0.302 0.302 0.794
Ni: 0.302 0.794 0.302
Ni: 0.395 0.894 0.894
Ni: 0.605 0.106 0.106
Ni: 0.698 0.206 0.698
Ni: 0.698 0.698 0.206
Ni: 0.794 0.302 0.302
Ni: 0.894 0.395 0.894
Ni: 0.894 0.894 0.395
Ge: 0.000 0.500 0.500
Ge: 0.500 0.000 0.500
Ge: 0.500 0.500 0.000

***

(3)
Entry from Alexandria: a relaxed structure of KBaNa2Hg4 (PBE-GGA).

calculated density	6.573	g/cm³
SG	R-3m (166)
calculated formation energy	-293	meV/atom
calculated total energy	-1.15	eV/atom

Unit cell a=9.694 b=9.694 c=9.694 alpha=34.36 beta=34.36 gamma=34.36
Atoms (fractional coordinates):
K: 0.000 0.000 0.000
Ba: 0.500 0.500 0.500
Na: 0.251 0.251 0.251
Na: 0.749 0.749 0.749
Hg: 0.128 0.128 0.128
Hg: 0.374 0.374 0.374
Hg: 0.626 0.626 0.626
Hg: 0.872 0.872 0.872

***

(4)
Entry from Alexandria: a relaxed structure of Ce3TeS6 (PBE-GGA).

calculated density	4.882	g/cm³
SG	Cmc2_1 (36)
formation energy (no corrections)	-1474	meV per atom
calculated total energy	-6.05	eV/atom

Unit cell a=8.616 b=8.616 c=6.942 alpha=90.00 beta=90.00 gamma=102.22
Atoms (fractional coordinates):
Ce: 0.100 0.900 0.500
Ce: 0.206 0.416 0.392
Ce: 0.416 0.206 0.892
Ce: 0.584 0.794 0.392
Ce: 0.794 0.584 0.892
Ce: 0.900 0.100 0.000
Te: 0.342 0.658 0.940
Te: 0.658 0.342 0.440
S: 0.054 0.597 0.657
S: 0.129 0.192 0.697
S: 0.192 0.129 0.197
S: 0.270 0.730 0.274
S: 0.403 0.946 0.657
S: 0.487 0.513 0.661
S: 0.513 0.487 0.161
S: 0.597 0.054 0.157
S: 0.730 0.270 0.774
S: 0.808 0.871 0.697
S: 0.871 0.808 0.197
S: 0.946 0.403 0.157

***

Number 1 is which compound? Pm2Sm2Th

***

Among the records above, which one has the highest calculated density? Pa2CoNi12Ge3

***

Which of these has the lowest calculated total energy? Pa2CoNi12Ge3